Run i
Th2FeCl after structural relaxation. Source: the Alexandria database, functional GGA-PBE.

```
4
Lattice="1.9882 1.1479 7.7323 -1.9882 1.1479 7.7323 0.0000 -2.2958 7.7323" Properties=species:S:1:pos:R:3 pbc="T T T"
Th 0.0000 0.0000 0.0000
Th 0.0000 0.0000 4.8871
Fe 0.0000 0.0000 14.0574
Cl 0.0000 0.0000 10.0679
```

Crystal system: trigonal
V, Å³ per cell: 106

Run ii
Th2FeCl after structural relaxation. Source: the Alexandria database, functional GGA-PBE.

```
4
Lattice="2.0034 1.1567 7.5928 -2.0034 1.1567 7.5928 0.0000 -2.3134 7.5928" Properties=species:S:1:pos:R:3 pbc="T T T"
Th 0.0000 0.0000 5.2059
Th 0.0000 0.0000 17.5724
Fe 0.0000 0.0000 11.3891
Cl 0.0000 0.0000 0.0000
```

Crystal system: trigonal
V, Å³ per cell: 106

Run iii
Th2FeCl after structural relaxation. Source: the Alexandria database, functional GGA-PBE.

```
4
Lattice="3.9329 0.0000 0.0000 -1.9664 3.4060 0.0000 0.0000 0.0000 7.7897" Properties=species:S:1:pos:R:3 pbc="T T T"
Th 0.0000 2.2707 1.4553
Th 1.9664 1.1353 6.3344
Fe 0.0000 0.0000 0.0000
Cl 0.0000 0.0000 3.8949
```

Crystal system: trigonal
V, Å³ per cell: 104

run ii is favored, and the nearest alternative lies 0.022 eV/atom above it.

Run i
TiFeCl3 after structural relaxation. Source: the Alexandria database, functional GGA-PBE.

```
5
Lattice="4.5330 0.0000 0.0000 0.0000 4.5330 0.0000 0.0000 0.0000 4.5330" Properties=species:S:1:pos:R:3 pbc="T T T"
Ti 0.0000 0.0000 0.0000
Fe 2.2665 2.2665 2.2665
Cl 0.0000 2.2665 2.2665
Cl 2.2665 0.0000 2.2665
Cl 2.2665 2.2665 0.0000
```

Crystal system: cubic
V, Å³ per cell: 93

Run ii
TiFeCl3 after structural relaxation. Source: the Alexandria database, functional GGA-PBE.

```
5
Lattice="4.8584 0.0000 0.0000 0.0000 4.8584 0.0000 0.0000 0.0000 4.8584" Properties=species:S:1:pos:R:3 pbc="T T T"
Ti 0.0000 0.0000 0.0000
Fe 2.4292 2.4292 2.4292
Cl 0.0000 0.0000 2.4292
Cl 0.0000 2.4292 0.0000
Cl 2.4292 0.0000 0.0000
```

Crystal system: cubic
V, Å³ per cell: 115

run ii is favored, and the nearest alternative lies 0.464 eV/atom above it.

Run i
TlFeCl2 after structural relaxation. Source: the Alexandria database, functional GGA-PBE.

```
8
Lattice="-3.8209 3.8209 3.4282 3.8209 -3.8209 3.4282 3.8209 3.8209 -3.4282" Properties=species:S:1:pos:R:3 pbc="T T T"
Tl 0.0000 0.0000 0.0000
Tl 0.0000 3.8209 1.7141
Fe 3.8209 0.0000 1.7141
Fe 0.0000 0.0000 3.4282
Cl 1.9104 -1.0867 2.5711
Cl 2.7342 1.9104 0.8570
Cl 1.9104 4.9076 -0.8570
Cl 1.0867 1.9104 4.2852
```

Crystal system: tetragonal
V, Å³ per cell: 200

Run ii
TlFeCl2 after structural relaxation. Source: the Alexandria database, functional GGA-PBE.

```
4
Lattice="1.7171 0.9914 9.0448 -1.7171 0.9914 9.0448 0.0000 -1.9828 9.0448" Properties=species:S:1:pos:R:3 pbc="T T T"
Tl 0.0000 0.0000 0.0000
Fe 0.0000 0.0000 13.5671
Cl 0.0000 0.0000 3.3084
Cl 0.0000 0.0000 23.8258
```

Crystal system: trigonal
V, Å³ per cell: 92

Run iii
TlFeCl2 after structural relaxation. Source: the Alexandria database, functional GGA-PBE.

```
4
Lattice="0.0000 3.5816 3.5816 3.5816 0.0000 3.5816 3.5816 3.5816 0.0000" Properties=species:S:1:pos:R:3 pbc="T T T"
Tl 0.0000 0.0000 0.0000
Fe 3.5816 3.5816 3.5816
Cl 1.7908 1.7908 1.7908
Cl 5.3724 5.3724 5.3724
```

Crystal system: cubic
V, Å³ per cell: 92

run i is favored, and the nearest alternative lies 0.204 eV/atom above it.

Run i
TlFeCl2 after structural relaxation. Source: the Alexandria database, functional GGA-PBE.

```
4
Lattice="4.3958 0.0000 0.0000 0.0000 3.8201 0.0000 -2.1938 0.0000 6.3921" Properties=species:S:1:pos:R:3 pbc="T T T"
Tl 0.0000 0.0000 0.0000
Fe 2.1928 1.9101 3.8474
Cl -0.0026 1.9101 4.7122
Cl 2.1983 0.0000 2.4914
```

Crystal system: monoclinic
V, Å³ per cell: 107

Run ii
TlFeCl2 after structural relaxation. Source: the Alexandria database, functional GGA-PBE.

```
4
Lattice="-1.6398 1.6628 8.8227 1.6398 -1.6628 8.8227 1.6398 1.6628 -8.8227" Properties=species:S:1:pos:R:3 pbc="T T T"
Tl 0.0000 0.0000 0.0000
Fe 0.0000 1.6628 4.4961
Cl 1.6398 0.0000 5.7785
Cl 0.0000 0.0000 11.6247
```

Crystal system: orthorhombic
V, Å³ per cell: 96

run i is favored, and the nearest alternative lies 0.058 eV/atom above it.

Run i
TlFeCl2 after structural relaxation. Source: the Alexandria database, functional GGA-PBE.

```
4
Lattice="-1.7010 3.0992 4.9006 1.7010 -3.0992 4.9006 1.7010 3.0992 -4.9006" Properties=species:S:1:pos:R:3 pbc="T T T"
Tl 0.0000 0.0000 0.0000
Fe 0.0000 0.0000 4.9006
Cl 1.7010 0.0000 3.2432
Cl 0.0000 3.0992 1.6574
```

Crystal system: orthorhombic
V, Å³ per cell: 103

Run ii
TlFeCl2 after structural relaxation. Source: the Alexandria database, functional GGA-PBE.

```
4
Lattice="5.8169 -1.6954 0.0000 5.8169 1.6954 0.0000 -2.5951 0.0000 5.3496" Properties=species:S:1:pos:R:3 pbc="T T T"
Tl 0.0000 0.0000 0.0000
Fe 1.7185 0.0000 2.7843
Cl 6.0802 0.0000 3.5683
Cl 8.9199 0.0000 1.8704
```

Crystal system: monoclinic
V, Å³ per cell: 106

run i is favored, and the nearest alternative lies 0.005 eV/atom above it.

Run i
TlFeCl2 after structural relaxation. Source: the Alexandria database, functional GGA-PBE.

```
4
Lattice="0.0000 3.5552 3.5552 3.5552 0.0000 3.5552 3.5552 3.5552 0.0000" Properties=species:S:1:pos:R:3 pbc="T T T"
Tl 0.0000 0.0000 0.0000
Fe 1.7776 1.7776 1.7776
Cl 3.5552 3.5552 3.5552
Cl 5.3328 5.3328 5.3328
```

Crystal system: cubic
V, Å³ per cell: 90

Run ii
TlFeCl2 after structural relaxation. Source: the Alexandria database, functional GGA-PBE.

```
4
Lattice="1.8983 -2.9718 0.0000 1.8983 2.9718 0.0000 0.0000 0.0000 8.8399" Properties=species:S:1:pos:R:3 pbc="T T T"
Tl 0.0000 0.0000 0.0000
Fe 1.8983 0.0000 6.6586
Cl 0.0000 0.0000 5.3325
Cl 1.8983 0.0000 1.9447
```

Crystal system: orthorhombic
V, Å³ per cell: 100

run ii is favored, and the nearest alternative lies 0.452 eV/atom above it.